! GGA+U Li9Cr4B8O24, relaxed; values from VASP
! Calculated total energy, eV/cell: -315.457
&SYSTEM
  ibrav = 0, nat = 45, ntyp = 4
/
ATOMIC_SPECIES
O 16.00 O.upf
B 10.81 B.upf
Li 6.94 Li.upf
Cr 52.00 Cr.upf
CELL_PARAMETERS angstrom
-4.709 0.598 3.710
-5.637 -0.291 -6.922
-3.067 -8.696 -2.232
ATOMIC_POSITIONS crystal
O 0.770 0.401 0.193
O 0.688 0.573 0.823
O 0.146 0.423 0.670
O 0.735 0.083 0.422
O 0.775 0.083 0.927
O 0.820 0.587 0.317
O 0.707 0.393 0.688
O 0.432 0.321 0.442
O 0.212 0.596 0.810
O 0.060 0.319 0.929
O 0.298 0.085 0.304
O 0.336 0.412 0.184
O 0.287 0.603 0.304
O 0.768 0.903 0.201
O 0.900 0.177 0.596
O 0.963 0.663 0.072
O 0.239 0.102 0.796
O 0.367 0.818 0.899
O 0.731 0.907 0.689
O 0.111 0.828 0.389
O 0.258 0.922 0.573
O 0.593 0.680 0.561
O 0.606 0.179 0.099
O 0.200 0.934 0.065
B 0.274 0.946 0.917
B 0.785 0.054 0.577
B 0.149 0.456 0.801
B 0.720 0.052 0.082
B 0.225 0.940 0.424
B 0.842 0.545 0.191
B 0.339 0.450 0.311
B 0.673 0.546 0.690
Li 0.759 0.387 0.488
Li 0.421 0.305 0.669
Li 0.801 0.863 0.432
Li 0.918 0.728 0.836
Li 0.252 0.600 0.010
Li 0.546 0.706 0.344
Li 0.217 0.129 0.574
Li 0.256 0.149 0.083
Li 0.779 0.381 0.999
Cr 0.962 0.228 0.781
Cr 0.539 0.228 0.283
Cr 0.463 0.763 0.721
Cr 0.048 0.762 0.223